[1]
First-principles (GGA-PBE) data for a geometry-optimized GaTc3F structure, as listed in Alexandria via LeMat-Bulk.

extended XYZ file:
```
5
Lattice="-2.992 2.774 -0.927 -2.709 -3.128 -0.615 -1.100 0.161 4.034" Properties=species:S:1:pos:R:3 pbc="T T T"
Tc -1.355 -1.564 -0.307
Tc -0.550 0.080 2.017
Tc -1.496 1.387 -0.463
Ga -3.401 -0.097 1.246
F 0.000 0.000 0.000
```

Computed properties:
Final energy   -6.4036 eV per atom
Uncorrected formation energy   4.0 eV/f.u.
Crystal system   cubic
Excess energy over the best structure of this formula in the dataset   0.000 eV per atom
Symmetry   Pm-3m, No. 221
DOS at the Fermi energy   5.444 states/eV/f.u.

=====

[2]
First-principles (GGA-PBE) data for a geometry-optimized SrLiZr2 structure, as listed in Alexandria via LeMat-Bulk.

extended XYZ file:
```
4
Lattice="6.524 -0.005 0.002 2.937 5.825 -0.002 -3.757 -4.492 2.875" Properties=species:S:1:pos:R:3 pbc="T T T"
Zr 9.193 5.656 0.000
Zr 3.738 -0.800 1.438
Sr 2.073 2.194 1.436
Li 4.890 3.008 0.000
```

Computed properties:
Final energy   -4.6516 eV per atom
Energy of formation   0.52 eV/atom
Crystal system   orthorhombic
Excess energy over the best structure of this formula in the dataset   0.265 eV per atom
Symmetry   Imm2, No. 44
DOS at the Fermi energy   4.602 states/eV/f.u.

=====

[3]
First-principles (GGA-PBE) data for a geometry-optimized LiZnHg2 structure, as listed in Alexandria via LeMat-Bulk.

extended XYZ file:
```
4
Lattice="-4.332 0.065 -2.068 -0.407 -0.651 -4.739 -1.904 -4.062 -1.710" Properties=species:S:1:pos:R:3 pbc="T T T"
Hg 0.000 0.000 0.000
Hg -4.983 -3.486 -6.388
Zn -1.661 -1.162 -2.129
Li -3.322 -2.324 -4.259
```

Computed properties:
Final energy   -1.0484 eV per atom
Energy of formation   -0.10 eV/atom
Crystal system   cubic
Symmetry   F-43m, No. 216
DOS at the Fermi energy   1.530 states/eV/f.u.

=====

[4]
First-principles (GGA-PBE) data for a geometry-optimized TiNi6Ge structure, as listed in Alexandria via LeMat-Bulk.

extended XYZ file:
```
8
Lattice="-1.134 -2.890 -1.837 3.490 -2.849 2.329 -3.317 -1.044 3.691" Properties=species:S:1:pos:R:3 pbc="T T T"
Ni 0.043 -0.971 1.502
Ni 1.178 -2.869 0.246
Ni -2.225 -1.967 0.927
Ni 1.792 -2.399 2.668
Ni 0.130 -2.922 4.517
Ni -1.619 -1.494 3.351
Ti -0.567 -1.445 -0.918
Ge -0.481 -3.392 2.092
```

Computed properties:
Final energy   -6.2701 eV per atom
Energy of formation   -0.37 eV/atom
Crystal system   tetragonal
Excess energy over the best structure of this formula in the dataset   0.000 eV per atom
Symmetry   P4/mmm, No. 123
DOS at the Fermi energy   3.938 states/eV/f.u.

=====

[5]
First-principles (GGA-PBE) data for a geometry-optimized Be2InSb structure, as listed in Alexandria via LeMat-Bulk.

extended XYZ file:
```
4
Lattice="6.213 -0.061 -0.037 5.059 3.607 -0.037 5.059 1.592 3.237" Properties=species:S:1:pos:R:3 pbc="T T T"
In 4.083 1.285 0.791
Be 0.162 0.051 0.031
Be 8.004 2.518 1.550
Sb 12.248 3.854 2.372
```

Computed properties:
Final energy   -3.1031 eV per atom
Uncorrected formation energy   1.9 eV/f.u.
Crystal system   trigonal
Excess energy over the best structure of this formula in the dataset   0.207 eV per atom
Symmetry   R-3m, No. 166
DOS at the Fermi energy   0.765 states/eV/f.u.

=====

[6]
First-principles (GGA-PBE) data for a geometry-optimized Sm2Co2Ru structure, as listed in Alexandria via LeMat-Bulk.

extended XYZ file:
```
20
Lattice="-2.983 -1.194 5.795 -3.047 -5.254 -2.650 6.564 -4.992 2.351" Properties=species:S:1:pos:R:3 pbc="T T T"
Sm -1.245 -7.594 2.987
Sm -4.527 -5.099 1.812
Sm -0.108 -5.122 5.062
Sm -2.640 -3.822 -0.743
Sm -3.390 -2.626 3.888
Sm 0.641 -6.317 0.433
Sm -1.503 -1.349 1.333
Sm 1.778 -3.845 2.508
Co 2.700 -5.122 5.042
Co 0.125 -3.383 0.286
Co -2.166 -6.317 0.454
Co 3.407 -5.879 1.462
Co -0.582 -2.626 3.867
Co -2.873 -5.561 4.034
Co 1.115 -8.813 1.629
Co 0.408 -8.057 5.209
Ru 4.922 -3.743 1.763
Ru 1.909 -6.968 3.336
Ru -1.375 -4.471 2.160
Ru 1.642 -1.249 0.588
```

Computed properties:
Final energy   -6.5776 eV per atom
Energy of formation   0.01 eV/atom
Crystal system   tetragonal
Excess energy over the best structure of this formula in the dataset   0.136 eV per atom
Symmetry   P4/mbm, No. 127
DOS at the Fermi energy   7.770 states/eV/f.u.

=====

[7]
First-principles (GGA-PBE) data for a geometry-optimized K2InHgI6 structure, as listed in Alexandria via LeMat-Bulk.

extended XYZ file:
```
10
Lattice="8.420 0.000 0.000 4.210 7.292 0.000 4.210 2.431 7.083" Properties=species:S:1:pos:R:3 pbc="T T T"
I 3.561 4.838 1.930
I 6.619 1.789 1.930
I 9.093 2.518 5.524
I 10.112 6.617 5.524
I 6.053 5.450 5.524
I 2.450 0.665 1.930
In 4.210 2.431 0.268
Hg 12.630 7.292 3.856
K 8.420 4.861 2.718
K 4.210 2.431 6.324
```

Computed properties:
Final energy   -2.2406 eV per atom
Uncorrected formation energy   -7.9 eV/f.u.
Crystal system   trigonal
Symmetry   R3, No. 146
DOS at the Fermi energy   0.805 states/eV/f.u.

=====

[8]
First-principles (GGA-PBE) data for a geometry-optimized ZrCuCl2 structure, as listed in Alexandria via LeMat-Bulk.

extended XYZ file:
```
4
Lattice="4.405 0.000 0.000 0.000 3.303 0.007 0.000 -0.153 5.372" Properties=species:S:1:pos:R:3 pbc="T T T"
Zr 2.203 2.363 4.034
Cu 2.203 0.788 1.345
Cl 0.000 1.682 2.725
Cl 0.000 3.044 5.344
```

Computed properties:
Final energy   -4.4493 eV per atom
Uncorrected formation energy   -1.5 eV/f.u.
Crystal system   monoclinic
Excess energy over the best structure of this formula in the dataset   0.472 eV per atom
Symmetry   P2/m, No. 10
DOS at the Fermi energy   2.713 states/eV/f.u.

=====

[9]
First-principles (GGA-PBE) data for a geometry-optimized NaCd7Sn3 structure, as listed in Alexandria via LeMat-Bulk.

extended XYZ file:
```
11
Lattice="-1.665 -4.896 5.411 6.404 -0.742 1.299 -3.473 4.631 3.121" Properties=species:S:1:pos:R:3 pbc="T T T"
Sn 3.341 -2.277 7.096
Sn 0.179 -1.910 6.455
Sn 1.894 -4.197 4.913
Cd -2.106 3.286 3.397
Cd 1.303 2.891 4.089
Cd 0.697 -1.742 3.360
Cd -0.257 0.821 1.736
Cd 2.864 0.322 2.710
Cd 2.256 0.327 5.712
Cd 4.104 -2.137 4.051
Na -0.901 0.723 4.854
```

Computed properties:
Final energy   -1.7837 eV per atom
Energy of formation   0.01 eV/atom
Crystal system   trigonal
Symmetry   P3m1, No. 156
DOS at the Fermi energy   3.150 states/eV/f.u.

=====

[10]
First-principles (GGA-PBE) data for a geometry-optimized Th5ScC4 structure, as listed in Alexandria via LeMat-Bulk.

extended XYZ file:
```
10
Lattice="-0.361 3.564 0.620 -7.107 -0.363 -2.048 -0.211 -3.186 7.533" Properties=species:S:1:pos:R:3 pbc="T T T"
C -0.858 1.299 2.691
C -5.968 0.106 6.574
C -1.710 -0.091 -0.469
C -6.820 -1.285 3.414
Th -3.734 1.600 -0.714
Th -5.373 0.564 4.287
Th -2.305 -0.550 1.818
Th -1.584 0.772 5.300
Th -6.095 -0.757 0.804
Sc -0.180 1.782 0.310
```

Computed properties:
Final energy   -8.2983 eV per atom
Energy of formation   -0.27 eV/atom
Crystal system   monoclinic
Symmetry   C2/m, No. 12
DOS at the Fermi energy   6.834 states/eV/f.u.

=====

[11]
First-principles (GGA-PBE) data for a geometry-optimized RbSi2Bi2 structure, as listed in Alexandria via LeMat-Bulk.

extended XYZ file:
```
5
Lattice="5.437 0.000 0.000 0.000 5.437 0.000 2.718 2.718 5.073" Properties=species:S:1:pos:R:3 pbc="T T T"
Bi 2.718 5.437 2.536
Bi 5.437 2.718 2.536
Si 2.718 2.718 1.242
Si 5.437 5.437 3.831
Rb 0.000 0.000 0.000
```

Computed properties:
Final energy   -3.7279 eV per atom
Uncorrected formation energy   0.9 eV/f.u.
Crystal system   tetragonal
Symmetry   I4/mmm, No. 139
DOS at the Fermi energy   2.027 states/eV/f.u.

=====

[12]
First-principles (GGA-PBE) data for a geometry-optimized LiInRe2 structure, as listed in Alexandria via LeMat-Bulk.

extended XYZ file:
```
4
Lattice="-3.196 3.355 0.689 -1.126 -0.579 -2.406 -3.361 -3.510 1.506" Properties=species:S:1:pos:R:3 pbc="T T T"
In -2.720 0.655 0.119
Li -4.963 -1.389 -0.331
Re -3.324 -3.459 1.432
Re -2.281 -2.096 -0.376
```

Computed properties:
Final energy   -6.9847 eV per atom
Energy of formation   0.40 eV/atom
Crystal system   monoclinic
Symmetry   P2/m, No. 10
DOS at the Fermi energy   3.231 states/eV/f.u.